Material: NaCr2O4
Method: DFT, GGA+U
State: relaxed Values from VASP.

```
&SYSTEM
  ibrav = 0, nat = 28, ntyp = 3
/
ATOMIC_SPECIES
O 16.00 O.upf
Cr 52.00 Cr.upf
Na 22.99 Na.upf
ATOMIC_POSITIONS crystal
O 0.750 0.017 0.713
O 0.750 0.924 0.074
O 0.250 0.076 0.926
O 0.250 0.983 0.287
O 0.750 0.712 0.356
O 0.750 0.517 0.787
O 0.750 0.611 0.016
O 0.250 0.788 0.856
O 0.250 0.288 0.644
O 0.250 0.889 0.516
O 0.750 0.212 0.144
O 0.750 0.111 0.484
O 0.250 0.576 0.574
O 0.750 0.424 0.426
O 0.250 0.389 0.984
O 0.250 0.483 0.213
Cr 0.750 0.922 0.394
Cr 0.250 0.565 0.390
Cr 0.250 0.078 0.606
Cr 0.750 0.935 0.890
Cr 0.750 0.422 0.106
Cr 0.250 0.065 0.110
Cr 0.750 0.435 0.610
Cr 0.250 0.578 0.894
Na 0.750 0.256 0.847
Na 0.250 0.744 0.153
Na 0.750 0.756 0.653
Na 0.250 0.244 0.347
CELL_PARAMETERS angstrom
-0.618 -2.536 -1.452
-0.786 -4.314 7.871
-10.493 2.403 0.269
```

Results
symmetry = Pnma
volume = 289.8 Å³ per cell
magnetic moment = 20.00 μB per cell
offset from the most stable computed form = 0 meV/atom